The following is a PBE calculation of crystalline YBeMo2 at its relaxed geometry, from OQMD via LeMat-Bulk.

a = 4.5769 Å, b = 4.5769 Å, c = 4.5769 Å
α = 60.00°, β = 60.00°, γ = 60.00°
Last column: nearest neighbours and their distance in Å.
Fractional coordinates of all 4 atoms:
Mo 0.7500 0.7500 0.7500  4 Be 2.80, 4 Mo 2.80
Mo 0.0000 0.0000 0.0000  4 Mo 2.80, 4 Y 2.80
Be 0.5000 0.5000 0.5000  4 Mo 2.80, 4 Y 2.80
Y 0.2500 0.2500 0.2500  4 Be 2.80, 4 Mo 2.80

Summary:
SG: F-43m (216)
E_tot: -7.621 eV/atom